PBE+U Ag3WCl2F6, optimized geometry; SG = C2/m, No. 12; raw total energy = -4.240 eV/atom
1.0
4.855 0.000 -0.129
0.000 7.423 0.000
-0.898 -3.711 6.929
Ag W F Cl
3 1 6 2
direct
0.000 0.500 0.000
0.500 0.500 0.500
0.500 0.000 0.500
0.500 0.000 0.000
0.731 0.872 0.126
0.269 0.128 0.874
0.705 0.889 0.779
0.295 0.111 0.221
0.269 0.746 0.874
0.731 0.254 0.126
0.208 0.675 0.350
0.792 0.325 0.650